# 1
LaErO4, optimized geometry, DFT PBE-GGA; raw formation energy = -283 kJ/mol of atoms
1.0
3.964 0.000 0.000
-1.982 3.318 -0.417
0.000 -0.079 6.457
La Er O
1 1 4
direct
0.049 0.097 0.019
0.443 0.886 0.479
0.671 0.342 0.803
0.402 0.803 0.127
0.101 0.201 0.407
0.835 0.671 0.664

# 2
Sc4AlIn, optimized geometry, DFT PBE-GGA; energy above the lowest structure with this stoichiometry = 203.1 meV per atom
1.0
-4.279 0.130 2.165
-1.610 -3.850 2.365
1.454 1.381 8.107
Sc Al In
4 1 1
direct
0.629 0.629 0.114
0.371 0.371 0.886
0.121 0.121 0.637
0.879 0.879 0.363
0.000 0.000 0.000
0.500 0.500 0.500

# 3
CsCaSbH2, optimized geometry, DFT PBE-GGA; energy above the lowest structure with this stoichiometry = 31.5 meV per atom
1.0
-2.670 -1.582 -5.161
1.560 -5.198 0.786
-7.514 -1.519 4.866
Cs Ca Sb H
2 2 2 4
direct
0.446 0.000 0.398
0.446 0.500 0.898
0.958 0.000 0.726
0.958 0.500 0.226
0.962 0.000 0.065
0.962 0.500 0.565
0.558 0.000 0.773
0.558 0.500 0.273
0.627 0.000 0.851
0.627 0.500 0.351

# 4
HoLuV4, optimized geometry, DFT PBE-GGA; energy = -0.26691 hartree per atom
1.0
-0.780 5.058 -1.760
-3.554 3.220 2.508
1.752 4.190 2.943
Lu Ho V
1 1 4
direct
0.000 0.000 0.000
0.250 0.250 0.250
0.626 0.626 0.123
0.626 0.123 0.626
0.626 0.626 0.626
0.123 0.626 0.626

# 5
Hf2MgF, optimized geometry, DFT PBE-GGA; energy above the lowest structure with this stoichiometry = 0.0 meV per atom; raw formation energy = -8 kJ/mol of atoms
1.0
-3.696 0.396 4.102
3.156 -3.271 3.160
2.649 3.464 5.788
Mg Hf F
2 4 2
direct
0.000 0.000 0.000
0.750 0.250 0.500
0.464 0.125 0.250
0.286 0.625 0.250
0.375 0.536 0.750
0.875 0.714 0.750
0.500 0.500 0.000
0.250 0.750 0.500

# 6
Ac4NdY3, optimized geometry, DFT PBE-GGA; energy = -0.18468 hartree per atom
1.0
-0.843 -3.434 -4.110
8.368 -5.697 3.045
-6.401 -6.014 6.338
Y Ac Nd
6 8 2
direct
0.564 0.612 0.000
0.064 0.611 0.251
0.564 0.389 0.249
0.064 0.388 0.500
0.564 0.389 0.751
0.064 0.611 0.749
0.064 0.863 0.000
0.564 0.137 0.000
0.064 0.136 0.250
0.564 0.864 0.250
0.064 0.863 0.500
0.564 0.137 0.500
0.564 0.864 0.750
0.064 0.136 0.750
0.064 0.390 0.000
0.564 0.610 0.500

no.,calculated density (g cm⁻³)
1,7.2
2,3.4
3,3.3
4,8.1
5,7.1
6,7.1